Entry 1:
## DyAu3 (GGA-PBEsol)

Data for an optimized crystal structure of DyAu3.

Properties
Crystal system   orthorhombic
ΔH_f (0 K)   -284 kJ/mol of formula units
E   -39.38 eV for the cell shown
Calculated volume   152 Å³/cell

Unit cell a=4.964 b=6.030 c=5.073 alpha=90.00 beta=90.00 gamma=90.00
Space group Pmmn (No. 59, origin choice 2)
Inequivalent atoms, fractional coordinates:
Dy 0.250 0.250 0.156
Au 0.250 0.507 0.661
Au 0.250 0.750 0.168



Entry 2:
## SiAgBr2 (GGA-PBEsol)

Data for an optimized crystal structure of SiAgBr2.

Properties
Crystal system   monoclinic
Formation energy without anion corrections   0.011 eV per atom
E   -25.51 eV for the cell shown
Energy relative to the lowest polymorph listed for this composition   0 meV/atom
Calculated volume   203 Å³/cell

Unit cell a=14.590 b=3.596 c=4.029 alpha=90.00 beta=105.83 gamma=90.00
Space group C2/m (No. 12)
Inequivalent atoms, fractional coordinates:
Si 0.000 0.000 0.000
Ag 0.000 0.500 0.500
Br 0.149 0.500 0.148



Entry 3:
## ReRh7 (GGA-PBEsol)

Data for an optimized crystal structure of ReRh7.

Properties
Crystal system   monoclinic
ΔH_f (0 K)   -42 kJ/mol of formula units
E   -141.48 eV for the cell shown
Energy relative to the lowest polymorph listed for this composition   15 meV/atom
Calculated volume   217 Å³/cell

Unit cell a=8.473 b=3.787 c=7.562 alpha=90.00 beta=116.51 gamma=90.00
Space group C2/m (No. 12)
Inequivalent atoms, fractional coordinates:
Re 0.000 0.000 0.000
Rh 0.000 0.000 0.500
Rh 0.002 0.500 0.247
Rh 0.248 0.000 0.373
Rh 0.248 0.500 0.123



Entry 4:
## BaCa2Al (GGA-PBEsol)

Data for an optimized crystal structure of BaCa2Al.

Properties
Crystal system   tetragonal
ΔH_f (0 K)   -2 kJ/mol of formula units
E   -21.05 eV for the cell shown
Calculated volume   273 Å³/cell

Unit cell a=5.781 b=5.781 c=8.165 alpha=90.00 beta=90.00 gamma=90.00
Space group I-4m2 (No. 119)
Inequivalent atoms, fractional coordinates:
Ba 0.000 0.000 0.000
Ca 0.000 0.000 0.500
Ca 0.000 0.500 0.250
Al 0.000 0.500 0.750



Entry 5:
## HgMo2Os (GGA-PBEsol)

Data for an optimized crystal structure of HgMo2Os.

Properties
Crystal system   tetragonal
ΔH_f (0 K)   89 kJ/mol of formula units
E   -35.40 eV for the cell shown
Calculated volume   64 Å³/cell

Unit cell a=2.816 b=2.816 c=8.038 alpha=90.00 beta=90.00 gamma=90.00
Space group P4/mmm (No. 123)
Inequivalent atoms, fractional coordinates:
Hg 0.000 0.000 0.000
Mo 0.500 0.500 0.275
Os 0.000 0.000 0.500



Entry 6:
## ZrAg8 (GGA-PBEsol)

Data for an optimized crystal structure of ZrAg8.

Properties
Crystal system   tetragonal
ΔH_f (0 K)   35 kJ/mol of formula units
E   -70.43 eV for the cell shown
Calculated volume   309 Å³/cell

Unit cell a=8.732 b=8.732 c=4.049 alpha=90.00 beta=90.00 gamma=90.00
Space group I4/mmm (No. 139)
Inequivalent atoms, fractional coordinates:
Zr 0.000 0.000 0.000
Ag 0.000 0.334 0.000
Ag 0.168 0.168 0.500



Entry 7:
## OsRuRh (GGA-PBEsol)

Data for an optimized crystal structure of OsRuRh.

Properties
Crystal system   trigonal
ΔH_f (0 K)   17 kJ/mol of formula units
E   -30.35 eV for the cell shown
Energy relative to the lowest polymorph listed for this composition   4 meV/atom
Calculated volume   41 Å³/cell

Unit cell a=2.6795 b=2.6795 c=6.5667 alpha=90.00 beta=90.00 gamma=120.00
Space group P3m1 (No. 156)
Inequivalent atoms, fractional coordinates:
Os 0.0000 0.0000 0.0000
Ru 0.6667 0.3333 0.3227
Rh 0.3333 0.6667 0.6612



Entry 8:
## ErZnRh2 (GGA-PBEsol)

Data for an optimized crystal structure of ErZnRh2.

Properties
Crystal system   cubic
ΔH_f (0 K)   -256 kJ/mol of formula units
E   -101.74 eV for the cell shown
Calculated volume   250 Å³/cell

Unit cell a=6.300 b=6.300 c=6.300 alpha=90.00 beta=90.00 gamma=90.00
Space group Fm-3m (No. 225)
Inequivalent atoms, fractional coordinates:
Er 0.000 0.000 0.000
Zn 0.000 0.000 0.500
Rh 0.250 0.250 0.250